No. 1
Computed, not measured: a relaxed RbZrNiTe3 crystal at the PBE level of DFT.

Output
SG: No. 11
Energy relative to the elements, uncorrected in eV per atom: -0.786

a b c (Å): 4.0380 10.0183 10.5769
angles (deg): 116.65 90.00 90.00
With the nearest neighbours (Å) after each atom.
Fractional coordinates of all 12 atoms:
Rb 0.7500 0.7661 0.7501  7 Te 3.64-3.79, 2 Rb 4.04
Te 0.7500 0.8915 0.1454  1 Ni 2.57
Te 0.2500 0.1085 0.8546  1 Ni 2.57
Te 0.2500 0.8064 0.4731  3 Ni 2.55-2.58
Ni 0.7500 0.9062 0.3940  4 Te 2.55-2.58
Te 0.7500 0.1936 0.5269  3 Ni 2.55-2.58
Ni 0.2500 0.0938 0.6060  4 Te 2.55-2.58
Zr 0.7500 0.3004 0.8285  6 Te 2.87-3.03, 2 Ni 3.09
Te 0.2500 0.5270 0.8517  3 Zr 2.96-3.03
Rb 0.2500 0.2339 0.2499  7 Te 3.64-3.79, 2 Rb 4.04
Zr 0.2500 0.6996 0.1715  6 Te 2.87-3.03, 2 Ni 3.09
Te 0.7500 0.4730 0.1483  3 Zr 2.96-3.03

No. 2
Computed, not measured: a relaxed TmGePd2 crystal at the PBE level of DFT.

Output
SG: No. 62
Energy of formation in eV/atom: -0.91

a b c (Å): 5.5737 7.1502 7.2854
angles (deg): 90.00 90.00 90.00
With the nearest neighbours (Å) after each atom.
Fractional coordinates of all 16 atoms:
Ge 0.3580 0.2500 0.6188  6 Pd 2.52-2.65
Ge 0.8580 0.7500 0.8812  6 Pd 2.52-2.65
Pd 0.5863 0.5510 0.6847  3 Ge 2.52-2.65
Tm 0.1443 0.7500 0.5265  3 Ge 2.97-3.04, 8 Pd 3.03-3.14
Pd 0.4137 0.0510 0.3153  3 Ge 2.52-2.65
Pd 0.9137 0.5510 0.1847  3 Ge 2.52-2.65
Pd 0.4137 0.4490 0.3153  3 Ge 2.52-2.65
Pd 0.5863 0.9490 0.6847  3 Ge 2.52-2.65
Ge 0.1420 0.2500 0.1188  6 Pd 2.52-2.65
Tm 0.8557 0.2500 0.4735  3 Ge 2.97-3.04, 8 Pd 3.03-3.14
Ge 0.6420 0.7500 0.3812  6 Pd 2.52-2.65
Pd 0.0863 0.0510 0.8153  3 Ge 2.52-2.65
Pd 0.0863 0.4490 0.8153  3 Ge 2.52-2.65
Tm 0.3557 0.7500 0.0265  3 Ge 2.97-3.04, 8 Pd 3.03-3.14
Tm 0.6443 0.2500 0.9735  3 Ge 2.97-3.04, 8 Pd 3.03-3.14
Pd 0.9137 0.9490 0.1847  3 Ge 2.52-2.65

No. 3
Computed, not measured: a relaxed Ho2Mg crystal at the PBE level of DFT.

Output
SG: No. 227
Energy of formation in eV/atom: 0.29

a b c (Å): 6.3730 6.3730 6.3730
angles (deg): 60.00 60.00 60.00
With the nearest neighbours (Å) after each atom.
Fractional coordinates of all 6 atoms:
Ho 0.1250 0.6250 0.6250  6 Ho 3.19
Ho 0.6250 0.6250 0.1250  6 Ho 3.19
Ho 0.6250 0.6250 0.6250  6 Ho 3.19
Ho 0.6250 0.1250 0.6250  6 Ho 3.19
Mg 0.2500 0.2500 0.2500  12 Ho 3.74, 4 Mg 3.90
Mg 0.0000 0.0000 0.0000  12 Ho 3.74, 4 Mg 3.90

No. 4
Computed, not measured: a relaxed Sr3Ca12Mg crystal at the PBE level of DFT.

Output
SG: No. 123
Energy of formation in eV/atom: 0.01

a b c (Å): 5.5689 5.5689 22.0393
angles (deg): 90.00 90.00 90.00
With the nearest neighbours (Å) after each atom.
Fractional coordinates of all 16 atoms:
Mg 0.0000 0.0000 0.0000  12 Ca 3.68-3.94
Ca 0.5000 0.0000 0.8909  8 Ca 3.68-3.97, 2 Mg 3.68, 2 Sr 4.01
Ca 0.5000 0.0000 0.1091  8 Ca 3.68-3.97, 2 Mg 3.68, 2 Sr 4.01
Ca 0.5000 0.5000 0.7621  4 Sr 3.94, 8 Ca 3.97-4.02
Ca 0.0000 0.5000 0.3697  8 Ca 3.94-4.02, 4 Sr 3.99-4.00
Sr 0.0000 0.0000 0.2403  12 Ca 3.94-4.01
Ca 0.0000 0.5000 0.8909  8 Ca 3.68-3.97, 2 Mg 3.68, 2 Sr 4.01
Ca 0.5000 0.5000 0.5000  4 Sr 3.94, 8 Ca 4.00
Ca 0.5000 0.5000 0.2379  4 Sr 3.94, 8 Ca 3.97-4.02
Ca 0.5000 0.0000 0.3697  8 Ca 3.94-4.02, 4 Sr 3.99-4.00
Ca 0.5000 0.5000 0.0000  8 Ca 3.68, 4 Mg 3.94
Ca 0.5000 0.0000 0.6303  8 Ca 3.94-4.02, 4 Sr 3.99-4.00
Sr 0.0000 0.0000 0.7597  12 Ca 3.94-4.01
Sr 0.0000 0.0000 0.5000  12 Ca 3.94-4.00
Ca 0.0000 0.5000 0.1091  8 Ca 3.68-3.97, 2 Mg 3.68, 2 Sr 4.01
Ca 0.0000 0.5000 0.6303  8 Ca 3.94-4.02, 4 Sr 3.99-4.00

No. 5
Computed, not measured: a relaxed RbErPuI6 crystal at the PBE level of DFT.

Output
SG: No. 163
Energy relative to the elements, uncorrected in eV per atom: -1.291

a b c (Å): 8.0040 8.0040 16.4459
angles (deg): 90.00 90.00 120.00
With the nearest neighbours (Å) after each atom.
Fractional coordinates of all 18 atoms:
I 0.9835 0.3574 0.1409  1 Er 3.03, 1 Pu 3.20
I 0.9835 0.6261 0.3591  1 Er 3.03, 1 Pu 3.20
I 0.3574 0.9835 0.6409  1 Er 3.03, 1 Pu 3.20
I 0.6426 0.6261 0.1409  1 Er 3.03, 1 Pu 3.20
Pu 0.3333 0.6667 0.2500  6 I 3.20
I 0.3739 0.3574 0.3591  1 Er 3.03, 1 Pu 3.20
I 0.0165 0.3739 0.6409  1 Er 3.03, 1 Pu 3.20
Rb 0.0000 0.0000 0.0000  6 I 3.73
I 0.3739 0.0165 0.1409  1 Er 3.03, 1 Pu 3.20
I 0.6426 0.0165 0.3591  1 Er 3.03, 1 Pu 3.20
Er 0.6667 0.3333 0.2500  6 I 3.03
I 0.3574 0.3739 0.8591  1 Er 3.03, 1 Pu 3.20
I 0.0165 0.6426 0.8591  1 Er 3.03, 1 Pu 3.20
I 0.6261 0.6426 0.6409  1 Er 3.03, 1 Pu 3.20
I 0.6261 0.9835 0.8591  1 Er 3.03, 1 Pu 3.20
Pu 0.6667 0.3333 0.7500  6 I 3.20
Er 0.3333 0.6667 0.7500  6 I 3.03
Rb 0.0000 0.0000 0.5000  6 I 3.73

No. 6
Computed, not measured: a relaxed LaHfP2 crystal at the PBE level of DFT.

Output
Energy relative to the lowest polymorph listed for this composition in kJ per mole of atoms: 45.5
SG: No. 122
Energy of formation in eV/atom: -0.95

a b c (Å): 7.2113 7.2113 6.3183
angles (deg): 55.20 55.20 90.00
With the nearest neighbours (Å) after each atom.
Fractional coordinates of all 8 atoms:
Hf 0.7500 0.2500 0.5000  4 P 2.51
La 0.2500 0.7500 0.5000  4 P 2.94
La 0.5000 0.5000 0.0000  4 P 2.94
P 0.8750 0.9195 0.7500  2 Hf 2.51
P 0.0805 0.6250 0.2500  2 Hf 2.51
P 0.6695 0.1250 0.2500  2 Hf 2.51
P 0.3750 0.3305 0.7500  2 Hf 2.51
Hf 0.0000 0.0000 0.0000  4 P 2.51

No. 7
Computed, not measured: a relaxed Ho4HSe5 crystal at the PBE level of DFT.

Output
SG: No. 12
E_tot in eV per cell: -53.780

a b c (Å): 4.0797 10.7404 7.7527
angles (deg): 107.58 105.26 90.00
With the nearest neighbours (Å) after each atom.
Fractional coordinates of all 10 atoms:
Se 0.5000 0.5000 0.0000  4 Ho 2.80
Ho 0.3510 0.9227 0.7019  1 H 2.12
Ho 0.0064 0.3250 0.0128  4 Se 2.68-2.80
H 0.5000 0.0000 0.0000  2 Ho 2.12
Ho 0.6490 0.0773 0.2981  1 H 2.12
Se 0.1663 0.2621 0.3327  3 Ho 2.68-2.80
Se 0.1499 0.8879 0.2997  4 Ho 2.71-2.91
Ho 0.9936 0.6750 0.9872  4 Se 2.68-2.80
Se 0.8337 0.7379 0.6673  3 Ho 2.68-2.80
Se 0.8501 0.1121 0.7003  4 Ho 2.71-2.91

No. 8
Computed, not measured: a relaxed Zn2TcSe crystal at the PBE level of DFT.

Output
Energy relative to the lowest polymorph listed for this composition in kJ per mole of atoms: 23.7
SG: No. 139
Energy relative to the elements, uncorrected in eV per atom: 0.273

a b c (Å): 5.1896 5.1896 5.1896
angles (deg): 138.10 138.10 60.75
With the nearest neighbours (Å) after each atom.
Fractional coordinates of all 4 atoms:
Zn 0.0000 0.0000 0.0000  4 Zn 2.62, 4 Se 2.91, 4 Tc 2.91
Se 0.2500 0.7500 0.5000  4 Tc 2.62, 8 Zn 2.91
Zn 0.5000 0.5000 0.0000  4 Zn 2.62, 4 Se 2.91, 4 Tc 2.91
Tc 0.7500 0.2500 0.5000  4 Se 2.62, 8 Zn 2.91

No. 9
Computed, not measured: a relaxed PmYCoGe crystal at the PBE level of DFT.

Output
SG: No. 216
Energy of formation in eV/atom: -0.36

a b c (Å): 4.9946 4.9946 4.9946
angles (deg): 60.00 60.00 60.00
With the nearest neighbours (Å) after each atom.
Fractional coordinates of all 4 atoms:
Pm 0.0000 0.0000 0.0000  4 Ge 3.06, 4 Co 3.06
Y 0.5000 0.5000 0.5000  4 Ge 3.06, 4 Co 3.06
Co 0.7500 0.7500 0.7500  4 Pm 3.06, 4 Y 3.06
Ge 0.2500 0.2500 0.2500  4 Pm 3.06, 4 Y 3.06

No. 10
Computed, not measured: a relaxed CaIrOs2 crystal at the PBE level of DFT.

Output
Energy relative to the lowest polymorph listed for this composition in kJ per mole of atoms: 30.4
SG: No. 47
Energy of formation in eV/atom: 0.53

a b c (Å): 2.8624 4.6955 4.8379
angles (deg): 90.00 90.00 90.00
With the nearest neighbours (Å) after each atom.
Fractional coordinates of all 4 atoms:
Ir 0.0000 0.5000 0.5000  4 Ca 2.75, 4 Os 2.81, 2 Ir 2.86
Os 0.5000 0.5000 0.0000  6 Os 2.75-2.86, 4 Ir 2.81
Os 0.0000 0.0000 0.0000  6 Os 2.75-2.86, 4 Ca 2.81
Ca 0.5000 0.0000 0.5000  4 Ir 2.75, 4 Os 2.81, 2 Ca 2.86

Ordered total moment results: 0.000 0.000 0.000 0.000 0.667 0.000 0.000 0.162 0.198 0.000; unit μB per atom.
Ordered Fermi-level density of states results: 6.10 5.53 8.90 20.81 39.47 5.24 2.23 3.16 1.91 5.55; unit states/eV/cell.